[1]
DFT (GGA-PBE) results for a relaxed MoPI2 crystal.

Results
symmetry	Fm-3m (225)
distance to the lowest polymorph of the same formula	82.55	kJ per mole of atoms
DFT total energy	-3.7339	eV per atom
formation energy from raw total energies	1.101	eV/atom

Cell and atoms, written as POSCAR:
```
MoPI2
1.0
0.000 3.483 3.483
3.483 0.000 3.483
3.483 3.483 0.000
Mo I P
1 2 1
Cartesian
3.483 3.483 3.483
1.741 1.741 1.741
5.224 5.224 5.224
0.000 0.000 0.000
```

=====

[2]
DFT (GGA-PBE) results for a relaxed Y2MgIr crystal.

Results
symmetry	I-4m2 (119)
energy of formation from the pure elements	-0.236	eV/atom
DFT total energy	-6.0823	eV per atom

Cell and atoms, written as POSCAR:
```
Y2MgIr
1.0
5.724 -0.026 0.000
2.497 5.150 0.000
-4.110 -2.562 3.050
Y Ir Mg
2 1 1
Cartesian
1.249 2.575 1.525
0.000 0.000 0.000
4.110 2.562 0.000
2.862 -0.013 1.525
```

=====

Q: Among the records above, which one has the lowest DFT total energy?
A: Y2MgIr

=====

Q: Look up the DFT total energy of the second one.
A: -6.0823 eV per atom

=====

Q: DFT total energy of number 1 (MoPI2)?
A: -3.7339 eV per atom

=====

What did the second record say?
DFT (GGA-PBE) results for a relaxed Y2MgIr crystal.

Results
symmetry	I-4m2 (119)
energy of formation from the pure elements	-0.236	eV/atom
DFT total energy	-6.0823	eV per atom

Cell and atoms, written as POSCAR:
```
Y2MgIr
1.0
5.724 -0.026 0.000
2.497 5.150 0.000
-4.110 -2.562 3.050
Y Ir Mg
2 1 1
Cartesian
1.249 2.575 1.525
0.000 0.000 0.000
4.110 2.562 0.000
2.862 -0.013 1.525
```